The following is a DFT calculation (GGA-PBE) of NpInH8Rh4 after structural relaxation.

The density of states at the Fermi level is 13.53 states/eV/f.u. The calculation puts the electronic total energy at -0.1888 hartree per atom. As for the crystal system: trigonal.

```
data_NpInH8Rh4
_chemical_formula_sum 'Np3 In3 H24 Rh12'
_symmetry_space_group_name_H-M 'R 3 m'
_symmetry_Int_Tables_number 160
_symmetry_space_group_name_Hall 'R 3 -2"'
_cell_length_a 5.5842
_cell_length_b 5.5842
_cell_length_c 15.5376
_cell_angle_alpha 90.00
_cell_angle_beta 90.00
_cell_angle_gamma 120.00
loop_
_atom_site_label
_atom_site_fract_x
_atom_site_fract_y
_atom_site_fract_z
Np1 0.0000 0.0000 0.0000
In1 0.0000 0.0000 0.6574
H1 0.0000 0.0000 0.2435
H2 0.0000 0.0000 0.7932
H3 0.1694 0.3388 0.5474
H4 0.1822 0.3644 0.1063
Rh1 0.0000 0.0000 0.3612
Rh2 0.1711 0.3422 0.8357
```

The following is a DFT calculation (GGA-PBE) of InH3O3 after structural relaxation.

The density of states at the Fermi level is 0.00 states/eV/f.u. The calculation puts the electronic total energy at -0.1903 hartree per atom. As for the crystal system: triclinic. For the distance to the lowest polymorph of the same formula, the calculation gives 45 meV per atom.

```
data_InH3O3
_chemical_formula_sum 'In4 H12 O12'
_symmetry_space_group_name_H-M 'P 1'
_symmetry_Int_Tables_number 1
_cell_length_a 6.9612
_cell_length_b 6.9969
_cell_length_c 7.0059
_cell_angle_alpha 109.86
_cell_angle_beta 107.01
_cell_angle_gamma 111.22
loop_
_symmetry_equiv_pos_as_xyz
'x,y,z'
loop_
_atom_site_label
_atom_site_fract_x
_atom_site_fract_y
_atom_site_fract_z
In1 0.0000 0.0000 0.0000
In2 0.0047 0.5182 0.4988
In3 0.4833 0.9956 0.5014
In4 0.5008 0.5013 0.9995
H1 0.0365 0.3847 0.8438
H2 0.0384 0.7286 0.1810
H3 0.1833 0.6716 0.9857
H4 0.2786 0.4503 0.3230
H5 0.3010 0.0307 0.8280
H6 0.3541 0.3167 0.5414
H7 0.5444 0.8334 0.8742
H8 0.6334 0.6802 0.4482
H9 0.7013 0.0538 0.2482
H10 0.7097 0.5448 0.6610
H11 0.8199 0.3751 0.0494
H12 0.8907 0.0839 0.6756
O1 0.1530 0.3245 0.3260
O2 0.1671 0.8501 0.1747
O3 0.1683 0.5266 0.8590
O4 0.2806 0.1576 0.9347
O5 0.3245 0.8356 0.6626
O6 0.4856 0.3291 0.6627
O7 0.5083 0.6739 0.3256
O8 0.6652 0.8380 0.0019
O9 0.7269 0.1748 0.3947
O10 0.8295 0.5098 0.1663
O11 0.8333 0.6745 0.6598
O12 0.8419 0.1391 0.7911
```

- Number 1 is which compound?
  NpInH8Rh4